[1]
## NaZrMn2 (GGA-PBE)

Data for a relaxed structure of NaZrMn2.

Summary:
ΔH_f (0 K) in eV per atom: 1.157
E above lowest polymorph in eV/atom: 0.530
D(E_F) in states/eV/cell: 7.7

Unit cell a=3.939 b=3.939 c=9.667 alpha=78.24 beta=78.24 gamma=90.00
Element x y z (fractional)
Na (0.500, 0.500, 0.000)
Na (0.250, 0.750, 0.500)
Mn (0.731, 0.125, 0.250)
Mn (0.019, 0.625, 0.250)
Mn (0.375, 0.269, 0.750)
Mn (0.875, 0.981, 0.750)
Zr (0.000, 0.000, 0.000)
Zr (0.750, 0.250, 0.500)

---

[2]
## NaZr2Mn (GGA-PBE)

Data for a relaxed structure of NaZr2Mn.

Summary:
ΔH_f (0 K) in eV per atom: 0.484
E above lowest polymorph in eV/atom: 0.000
D(E_F) in states/eV/cell: 4.3

Unit cell a=4.724 b=4.724 c=4.724 alpha=60.00 beta=60.00 gamma=60.00
Element x y z (fractional)
Na (0.000, 0.000, 0.000)
Mn (0.500, 0.500, 0.500)
Zr (0.250, 0.250, 0.250)
Zr (0.750, 0.750, 0.750)

---

[3]
## Na3ZrMn (GGA-PBE)

Data for a relaxed structure of Na3ZrMn.

Summary:
ΔH_f (0 K) in eV per atom: 1.616
E above lowest polymorph in eV/atom: 0.332
D(E_F) in states/eV/cell: 7.4

Unit cell a=5.917 b=5.917 c=5.917 alpha=90.00 beta=90.00 gamma=90.00
Element x y z (fractional)
Na (0.000, 0.500, 0.000)
Na (0.000, 0.000, 0.500)
Na (0.500, 0.000, 0.000)
Mn (0.500, 0.500, 0.500)
Zr (0.000, 0.000, 0.000)

---

[4]
## Na3ZrMn (GGA-PBE)

Data for a relaxed structure of Na3ZrMn.

Summary:
ΔH_f (0 K) in eV per atom: 1.284
E above lowest polymorph in eV/atom: 0.000
D(E_F) in states/eV/cell: 3.7

Unit cell a=5.372 b=5.372 c=5.372 alpha=90.00 beta=90.00 gamma=90.00
Element x y z (fractional)
Na (0.000, 0.500, 0.000)
Na (0.000, 0.000, 0.500)
Na (0.500, 0.000, 0.000)
Mn (0.000, 0.000, 0.000)
Zr (0.500, 0.500, 0.500)